(1)
Entry from Alexandria via LeMat-Bulk: a geometry-optimized CsF3 structure (PBE-GGA).

## Properties
Total magnetization, μB per formula unit: 0.00
E, Ry per atom: -0.2298
Crystal system: orthorhombic
Raw formation energy, eV/atom: -1.510

Lattice parameters (Å, degrees): 6.1634 7.8351 8.1495 90.00 90.00 90.00
Space group Cmce (No. 64)
Symmetry-distinct sites (fractional):
Cs1 0.0000 0.0000 0.0000
F1 0.0000 0.0000 0.5000
F2 0.0000 0.1515 0.3447

***

(2)
Entry from Alexandria via LeMat-Bulk: a geometry-optimized CsF structure (PBE-GGA).

## Properties
Total magnetization, μB per formula unit: 0.08
E, Ry per atom: -0.2869
Crystal system: cubic
Raw formation energy, eV/atom: -2.541

Lattice parameters (Å, degrees): 3.6944 3.6944 3.6944 90.00 90.00 90.00
Space group Pm-3m (No. 221)
Symmetry-distinct sites (fractional):
Cs1 0.0000 0.0000 0.0000
F1 0.5000 0.5000 0.5000

***

(3)
Entry from Alexandria via LeMat-Bulk: a geometry-optimized CsF structure (PBE-GGA).

## Properties
Total magnetization, μB per formula unit: 0.08
E, Ry per atom: -0.2915
Crystal system: cubic
Raw formation energy, eV/atom: -2.603

Lattice parameters (Å, degrees): 6.6326 6.6326 6.6326 90.00 90.00 90.00
Space group F-43m (No. 216)
Symmetry-distinct sites (fractional):
Cs1 0.0000 0.0000 0.0000
F1 0.2500 0.2500 0.2500

***

(4)
Entry from Alexandria via LeMat-Bulk: a geometry-optimized CsF3 structure (PBE-GGA).

## Properties
Total magnetization, μB per formula unit: 2.00
E, Ry per atom: -0.2126
Crystal system: tetragonal
Raw formation energy, eV/atom: -1.275

Lattice parameters (Å, degrees): 4.4441 4.4441 16.7223 90.00 90.00 90.00
Space group I4_1/amd (No. 141, origin choice 2)
Symmetry-distinct sites (fractional):
Cs1 0.0000 0.2500 0.3750
F1 0.0000 0.0000 0.0000
F2 0.0000 0.2500 0.8750

***

(5)
Entry from Alexandria via LeMat-Bulk: a geometry-optimized CsF structure (PBE-GGA).

## Properties
Total magnetization, μB per formula unit: 0.05
E, Ry per atom: -0.2939
Crystal system: hexagonal
Raw formation energy, eV/atom: -2.637

Lattice parameters (Å, degrees): 4.2078 4.2078 7.2892 90.00 90.00 120.00
Space group P6_3/mmc (No. 194)
Symmetry-distinct sites (fractional):
Cs1 0.3333 0.6667 0.2500
F1 0.0000 0.0000 0.0000

***

(6)
Entry from Alexandria via LeMat-Bulk: a geometry-optimized CsF structure (PBE-GGA).

## Properties
Total magnetization, μB per formula unit: 0.00
E, Ry per atom: -0.2907
Crystal system: cubic
Raw formation energy, eV/atom: -2.593

Lattice parameters (Å, degrees): 8.1484 8.1484 8.1484 90.00 90.00 90.00
Space group Pm-3n (No. 223)
Symmetry-distinct sites (fractional):
Cs1 0.0000 0.2500 0.5000
F1 0.0000 0.5000 0.2500

***

> Which of these has the lowest E?

number 5

***

Repeat the fifth record exactly.
Entry from Alexandria via LeMat-Bulk: a geometry-optimized CsF structure (PBE-GGA).

## Properties
Total magnetization, μB per formula unit: 0.05
E, Ry per atom: -0.2939
Crystal system: hexagonal
Raw formation energy, eV/atom: -2.637

Lattice parameters (Å, degrees): 4.2078 4.2078 7.2892 90.00 90.00 120.00
Space group P6_3/mmc (No. 194)
Symmetry-distinct sites (fractional):
Cs1 0.3333 0.6667 0.2500
F1 0.0000 0.0000 0.0000

***

> Number 3 is which compound?

CsF

***

> Which value of E does entry 3 give?

-0.2915 Ry per atom